Record 1
CsSrPu2O7: relaxed, GGA-PBE.

Calculated values
Total energy: -8.643 eV/atom
Density of states at the Fermi level: 0.797 states/eV/atom
Total moment: 5.0 Bohr magnetons per cell

```
data_CsSrPu2O7
_cell_length_a 4.272
_cell_length_b 4.272
_cell_length_c 11.071
_cell_angle_alpha 90.00
_cell_angle_beta 90.00
_cell_angle_gamma 90.00
_space_group_name_H-M_alt 'P 4/m m m'
_space_group_IT_number 123
_space_group_name_Hall '-P 4 2'
loop_
_atom_site_label
_atom_site_type_symbol
_atom_site_fract_x
_atom_site_fract_y
_atom_site_fract_z
_atom_site_occupancy
Cs1 Cs 0.000 0.000 0.000 1
Sr1 Sr 0.000 0.000 0.500 1
Pu1 Pu 0.500 0.500 0.309 1
O1 O 0.000 0.500 0.336 1
O2 O 0.500 0.500 0.138 1
O3 O 0.500 0.500 0.500 1
```


Record 2
RbHgI: relaxed, GGA-PBE.

Calculated values
Density of states at the Fermi level: 0.000 states/eV/atom
Energy above the most stable polymorph in this dataset: 73 meV per atom
Total moment: 0.0 Bohr magnetons per cell

```
data_RbHgI
_cell_length_a 5.094
_cell_length_b 8.154
_cell_length_c 5.095
_cell_angle_alpha 90.00
_cell_angle_beta 90.00
_cell_angle_gamma 90.00
_space_group_name_H-M_alt 'P 1 m 1'
_space_group_IT_number 6
_space_group_name_Hall 'P -2y'
loop_
_atom_site_label
_atom_site_type_symbol
_atom_site_fract_x
_atom_site_fract_y
_atom_site_fract_z
_atom_site_occupancy
Rb1 Rb 0.000 0.000 0.000 1
Hg1 Hg 0.480 0.500 0.492 1
I1 I 0.500 0.000 0.500 1
```


Record 3
Sr2TlIN: relaxed, GGA-PBE.

Calculated values
Total energy: -2.155 eV/atom
Density of states at the Fermi level: 1.425 states/eV/atom
Total moment: 0.0 Bohr magnetons per cell

```
data_Sr2TlIN
_cell_length_a 6.176
_cell_length_b 6.176
_cell_length_c 6.030
_cell_angle_alpha 90.00
_cell_angle_beta 90.00
_cell_angle_gamma 90.00
_space_group_name_H-M_alt 'P 4/m m m'
_space_group_IT_number 123
_space_group_name_Hall '-P 4 2'
loop_
_atom_site_label
_atom_site_type_symbol
_atom_site_fract_x
_atom_site_fract_y
_atom_site_fract_z
_atom_site_occupancy
Sr1 Sr 0.000 0.500 0.000 1
Tl1 Tl 0.000 0.000 0.500 1
I1 I 0.000 0.000 0.000 1
N1 N 0.500 0.500 0.500 1
```


Record 4
BaTc2Ir: relaxed, GGA-PBE.

Calculated values
Density of states at the Fermi level: 0.974 states/eV/atom
Energy of formation: 2.03 eV/f.u.
Energy above the most stable polymorph in this dataset: 189 meV per atom
Total moment: 0.0 Bohr magnetons per cell

```
data_BaTc2Ir
_cell_length_a 3.172
_cell_length_b 3.172
_cell_length_c 8.043
_cell_angle_alpha 90.00
_cell_angle_beta 90.00
_cell_angle_gamma 90.00
_space_group_name_H-M_alt 'P 4 m m'
_space_group_IT_number 99
_space_group_name_Hall 'P 4 -2'
loop_
_atom_site_label
_atom_site_type_symbol
_atom_site_fract_x
_atom_site_fract_y
_atom_site_fract_z
_atom_site_occupancy
Ba1 Ba 0.000 0.000 0.000 1
Tc1 Tc 0.000 0.000 0.505 1
Tc2 Tc 0.500 0.500 0.657 1
Ir1 Ir 0.500 0.500 0.308 1
```


Question: What is the density of states at the Fermi level in the third record?
Answer: 1.425 states/eV/atom